DFT (PBE) results for a relaxed structure of GaFe2Pt.

CIF file:
```
data_GaFe2Pt
_chemical_formula_sum 'Ga1 Fe2 Pt1'
_cell_length_a 3.692
_cell_length_b 3.692
_cell_length_c 3.959
_cell_angle_alpha 90.00
_cell_angle_beta 90.00
_cell_angle_gamma 90.00
_space_group_name_H-M_alt 'P 4/m m m'
_space_group_IT_number 123
_space_group_name_Hall '-P 4 2'
loop_
_atom_site_label
_atom_site_type_symbol
_atom_site_fract_x
_atom_site_fract_y
_atom_site_fract_z
Ga1 Ga 0.000 0.000 0.000
Fe1 Fe 0.000 0.500 0.500
Pt1 Pt 0.500 0.500 0.000
```

Computed properties:
Energy relative to the elements   -0.277 eV/atom
Volume   54 Å³/cell
Magnetization   5.10 μB per formula unit

=====

DFT (PBE) results for a relaxed structure of GaFe5Pt6.

CIF file:
```
data_GaFe5Pt6
_chemical_formula_sum 'Ga2 Fe10 Pt12'
_cell_length_a 3.899
_cell_length_b 7.438
_cell_length_c 11.785
_cell_angle_alpha 90.00
_cell_angle_beta 90.00
_cell_angle_gamma 90.00
_space_group_name_H-M_alt 'I m m m'
_space_group_IT_number 71
_space_group_name_Hall '-I 2 2'
loop_
_atom_site_label
_atom_site_type_symbol
_atom_site_fract_x
_atom_site_fract_y
_atom_site_fract_z
Ga1 Ga 0.000 0.000 0.000
Fe1 Fe 0.000 0.000 0.336
Fe2 Fe 0.000 0.500 0.000
Fe3 Fe 0.000 0.500 0.321
Pt1 Pt 0.000 0.247 0.167
Pt2 Pt 0.000 0.254 0.500
```

Computed properties:
Energy relative to the elements   -0.310 eV/atom
Volume   342 Å³/cell
Magnetization   16.91 μB per formula unit

=====

DFT (PBE) results for a relaxed structure of TaGaFePt.

CIF file:
```
data_TaGaFePt
_chemical_formula_sum 'Ta4 Ga4 Fe4 Pt4'
_cell_length_a 6.217
_cell_length_b 6.217
_cell_length_c 6.217
_cell_angle_alpha 90.00
_cell_angle_beta 90.00
_cell_angle_gamma 90.00
_space_group_name_H-M_alt 'F -4 3 m'
_space_group_IT_number 216
_space_group_name_Hall 'F -4 2 3'
loop_
_atom_site_label
_atom_site_type_symbol
_atom_site_fract_x
_atom_site_fract_y
_atom_site_fract_z
Ta1 Ta 0.000 0.000 0.000
Ga1 Ga 0.000 0.000 0.500
Fe1 Fe 0.250 0.250 0.250
Pt1 Pt 0.250 0.250 0.750
```

Computed properties:
Energy relative to the elements   -0.324 eV/atom
Volume   240 Å³/cell
Magnetization   1.87 μB per formula unit

=====

DFT (PBE) results for a relaxed structure of TlGaFePt2.

CIF file:
```
data_TlGaFePt2
_chemical_formula_sum 'Tl1 Ga1 Fe1 Pt2'
_cell_length_a 5.080
_cell_length_b 5.080
_cell_length_c 4.949
_cell_angle_alpha 90.00
_cell_angle_beta 90.00
_cell_angle_gamma 90.00
_space_group_name_H-M_alt 'P 4/m m m'
_space_group_IT_number 123
_space_group_name_Hall '-P 4 2'
loop_
_atom_site_label
_atom_site_type_symbol
_atom_site_fract_x
_atom_site_fract_y
_atom_site_fract_z
Tl1 Tl 0.000 0.000 0.000
Ga1 Ga 0.000 0.000 0.500
Fe1 Fe 0.500 0.500 0.500
Pt1 Pt 0.000 0.500 0.000
```

Computed properties:
Energy relative to the elements   1.438 eV/atom
Volume   128 Å³/cell
Magnetization   3.59 μB per formula unit

=====

DFT (PBE) results for a relaxed structure of ZrGaFePt.

CIF file:
```
data_ZrGaFePt
_chemical_formula_sum 'Zr4 Ga4 Fe4 Pt4'
_cell_length_a 6.313
_cell_length_b 6.313
_cell_length_c 6.313
_cell_angle_alpha 90.00
_cell_angle_beta 90.00
_cell_angle_gamma 90.00
_space_group_name_H-M_alt 'F -4 3 m'
_space_group_IT_number 216
_space_group_name_Hall 'F -4 2 3'
loop_
_atom_site_label
_atom_site_type_symbol
_atom_site_fract_x
_atom_site_fract_y
_atom_site_fract_z
Zr1 Zr 0.000 0.000 0.000
Ga1 Ga 0.000 0.000 0.500
Fe1 Fe 0.250 0.250 0.250
Pt1 Pt 0.250 0.250 0.750
```

Computed properties:
Energy relative to the elements   -0.516 eV/atom
Volume   252 Å³/cell
Magnetization   1.00 μB per formula unit

=====

DFT (PBE) results for a relaxed structure of PuGaFe3.

CIF file:
```
data_PuGaFe3
_chemical_formula_sum 'Pu2 Ga2 Fe6'
_cell_length_a 4.472
_cell_length_b 5.419
_cell_length_c 6.143
_cell_angle_alpha 90.00
_cell_angle_beta 94.69
_cell_angle_gamma 90.00
_space_group_name_H-M_alt 'P 1 21/m 1'
_space_group_IT_number 11
loop_
_space_group_symop_operation_xyz
'x,y,z'
'-x,-y,-z'
'-x,y+1/2,-z'
'x,-y+1/2,z'
loop_
_atom_site_label
_atom_site_type_symbol
_atom_site_fract_x
_atom_site_fract_y
_atom_site_fract_z
Pu1 Pu 0.125 0.250 0.154
Ga1 Ga 0.118 0.750 0.377
Fe1 Fe 0.380 0.750 0.012
Fe2 Fe 0.382 0.016 0.672
```

Computed properties:
Energy relative to the elements   -0.093 eV/atom
Volume   148 Å³/cell
Magnetization   0.89 μB per formula unit

=====

DFT (PBE) results for a relaxed structure of PuGaFe2.

CIF file:
```
data_PuGaFe2
_chemical_formula_sum 'Pu1 Ga1 Fe2'
_cell_length_a 3.142
_cell_length_b 3.142
_cell_length_c 6.412
_cell_angle_alpha 90.00
_cell_angle_beta 90.00
_cell_angle_gamma 90.00
_space_group_name_H-M_alt 'P 4/m m m'
_space_group_IT_number 123
_space_group_name_Hall '-P 4 2'
loop_
_atom_site_label
_atom_site_type_symbol
_atom_site_fract_x
_atom_site_fract_y
_atom_site_fract_z
Pu1 Pu 0.000 0.000 0.000
Ga1 Ga 0.000 0.000 0.500
Fe1 Fe 0.500 0.500 0.317
```

Computed properties:
Energy relative to the elements   0.207 eV/atom
Volume   63 Å³/cell
Magnetization   8.65 μB per formula unit

=====

DFT (PBE) results for a relaxed structure of PuGaFe.

CIF file:
```
data_PuGaFe
_chemical_formula_sum 'Pu2 Ga2 Fe2'
_cell_length_a 4.424
_cell_length_b 4.424
_cell_length_c 5.868
_cell_angle_alpha 90.00
_cell_angle_beta 90.00
_cell_angle_gamma 90.00
_space_group_name_H-M_alt 'P 42/m m c'
_space_group_IT_number 131
_space_group_name_Hall '-P 4c 2'
loop_
_atom_site_label
_atom_site_type_symbol
_atom_site_fract_x
_atom_site_fract_y
_atom_site_fract_z
Pu1 Pu 0.000 0.500 0.000
Ga1 Ga 0.000 0.500 0.500
Fe1 Fe 0.000 0.000 0.250
```

Computed properties:
Energy relative to the elements   -0.098 eV/atom
Volume   115 Å³/cell
Magnetization   4.31 μB per formula unit

=====

DFT (PBE) results for a relaxed structure of Pu2Ga3Fe.

CIF file:
```
data_Pu2Ga3Fe
_chemical_formula_sum 'Pu6 Ga9 Fe3'
_cell_length_a 5.5612
_cell_length_b 5.5612
_cell_length_c 12.4912
_cell_angle_alpha 90.00
_cell_angle_beta 90.00
_cell_angle_gamma 120.00
_space_group_name_H-M_alt 'R -3 m'
_space_group_IT_number 166
_space_group_name_Hall '-R 3 2"'
loop_
_atom_site_label
_atom_site_type_symbol
_atom_site_fract_x
_atom_site_fract_y
_atom_site_fract_z
Pu1 Pu 0.0000 0.0000 0.1214
Ga1 Ga 0.0000 0.5000 0.0000
Fe1 Fe 0.0000 0.0000 0.5000
```

Computed properties:
Energy relative to the elements   -0.270 eV/atom
Volume   335 Å³/cell
Magnetization   12.90 μB per formula unit

=====

DFT (PBE) results for a relaxed structure of PuGa3Fe.

CIF file:
```
data_PuGa3Fe
_chemical_formula_sum 'Pu1 Ga3 Fe1'
_cell_length_a 4.559
_cell_length_b 4.559
_cell_length_c 4.559
_cell_angle_alpha 90.00
_cell_angle_beta 90.00
_cell_angle_gamma 90.00
_space_group_name_H-M_alt 'P m -3 m'
_space_group_IT_number 221
_space_group_name_Hall '-P 4 2 3'
loop_
_atom_site_label
_atom_site_type_symbol
_atom_site_fract_x
_atom_site_fract_y
_atom_site_fract_z
Pu1 Pu 0.000 0.000 0.000
Ga1 Ga 0.000 0.500 0.500
Fe1 Fe 0.500 0.500 0.500
```

Computed properties:
Energy above the most stable polymorph in this dataset   38 meV per atom
Energy relative to the elements   -0.233 eV/atom
Volume   95 Å³/cell
Magnetization   6.67 μB per formula unit

=====

DFT (PBE) results for a relaxed structure of Pu3GaFe3.

CIF file:
```
data_Pu3GaFe3
_chemical_formula_sum 'Pu12 Ga4 Fe12'
_cell_length_a 4.324
_cell_length_b 9.274
_cell_length_c 12.621
_cell_angle_alpha 90.00
_cell_angle_beta 90.00
_cell_angle_gamma 90.00
_space_group_name_H-M_alt 'C m c m'
_space_group_IT_number 63
_space_group_name_Hall '-C 2c 2'
loop_
_atom_site_label
_atom_site_type_symbol
_atom_site_fract_x
_atom_site_fract_y
_atom_site_fract_z
Pu1 Pu 0.000 0.034 0.250
Pu2 Pu 0.000 0.305 0.106
Ga1 Ga 0.000 0.000 0.000
Fe1 Fe 0.000 0.236 0.750
Fe2 Fe 0.000 0.409 0.583
```

Computed properties:
Energy relative to the elements   -0.066 eV/atom
Volume   506 Å³/cell
Magnetization   10.98 μB per formula unit

=====

DFT (PBE) results for a relaxed structure of PuGaFe2.

CIF file:
```
data_PuGaFe2
_chemical_formula_sum 'Pu1 Ga1 Fe2'
_cell_length_a 4.328
_cell_length_b 4.328
_cell_length_c 3.251
_cell_angle_alpha 90.00
_cell_angle_beta 90.00
_cell_angle_gamma 90.00
_space_group_name_H-M_alt 'P 4/m m m'
_space_group_IT_number 123
_space_group_name_Hall '-P 4 2'
loop_
_atom_site_label
_atom_site_type_symbol
_atom_site_fract_x
_atom_site_fract_y
_atom_site_fract_z
Pu1 Pu 0.000 0.000 0.000
Ga1 Ga 0.500 0.500 0.000
Fe1 Fe 0.000 0.500 0.500
```

Computed properties:
Energy relative to the elements   -0.014 eV/atom
Volume   61 Å³/cell
Magnetization   1.54 μB per formula unit

=====

DFT (PBE) results for a relaxed structure of Pu2Ga2Fe3.

CIF file:
```
data_Pu2Ga2Fe3
_chemical_formula_sum 'Pu8 Ga8 Fe12'
_cell_length_a 7.894
_cell_length_b 7.894
_cell_length_c 7.894
_cell_angle_alpha 90.00
_cell_angle_beta 90.00
_cell_angle_gamma 90.00
_space_group_name_H-M_alt 'I 21 3'
_space_group_IT_number 199
_space_group_name_Hall 'I 2b 2c 3'
loop_
_atom_site_label
_atom_site_type_symbol
_atom_site_fract_x
_atom_site_fract_y
_atom_site_fract_z
Pu1 Pu 0.242 0.242 0.242
Ga1 Ga 0.051 0.449 0.551
Fe1 Fe 0.000 0.250 0.022
```

Computed properties:
Energy relative to the elements   -0.007 eV/atom
Volume   492 Å³/cell
Magnetization   5.47 μB per formula unit

=====

DFT (PBE) results for a relaxed structure of Pu3Ga2Fe4.

CIF file:
```
data_Pu3Ga2Fe4
_chemical_formula_sum 'Pu6 Ga4 Fe8'
_cell_length_a 9.079
_cell_length_b 4.310
_cell_length_c 8.070
_cell_angle_alpha 90.00
_cell_angle_beta 91.78
_cell_angle_gamma 90.00
_space_group_name_H-M_alt 'C 1 2/m 1'
_space_group_IT_number 12
loop_
_space_group_symop_operation_xyz
'x,y,z'
'-x,-y,-z'
'-x,y,-z'
'x,-y,z'
'x+1/2,y+1/2,z'
'-x+1/2,-y+1/2,-z'
'-x+1/2,y+1/2,-z'
'x+1/2,-y+1/2,z'
loop_
_atom_site_label
_atom_site_type_symbol
_atom_site_fract_x
_atom_site_fract_y
_atom_site_fract_z
Pu1 Pu 0.000 0.000 0.000
Pu2 Pu 0.127 0.500 0.389
Ga1 Ga 0.178 0.500 0.781
Fe1 Fe 0.090 0.000 0.637
Fe2 Fe 0.244 0.500 0.085
```

Computed properties:
Energy relative to the elements   -0.154 eV/atom
Volume   316 Å³/cell
Magnetization   8.58 μB per formula unit

=====

DFT (PBE) results for a relaxed structure of PuGaFe2.

CIF file:
```
data_PuGaFe2
_chemical_formula_sum 'Pu4 Ga4 Fe8'
_cell_length_a 6.810
_cell_length_b 4.206
_cell_length_c 8.968
_cell_angle_alpha 90.00
_cell_angle_beta 90.00
_cell_angle_gamma 90.00
_space_group_name_H-M_alt 'P n m a'
_space_group_IT_number 62
loop_
_space_group_symop_operation_xyz
'x,y,z'
'-x,-y,-z'
'-x+1/2,-y,z+1/2'
'x+1/2,y,-z+1/2'
'x+1/2,-y+1/2,-z+1/2'
'-x+1/2,y+1/2,z+1/2'
'-x,y+1/2,-z'
'x,-y+1/2,z'
loop_
_atom_site_label
_atom_site_type_symbol
_atom_site_fract_x
_atom_site_fract_y
_atom_site_fract_z
Pu1 Pu 0.228 0.250 0.174
Ga1 Ga 0.047 0.750 0.380
Fe1 Fe 0.064 0.250 0.909
Fe2 Fe 0.248 0.750 0.939
```

Computed properties:
Energy relative to the elements   -0.179 eV/atom
Volume   257 Å³/cell
Magnetization   1.15 μB per formula unit

=====

DFT (PBE) results for a relaxed structure of PuGaFe.

CIF file:
```
data_PuGaFe
_chemical_formula_sum 'Pu4 Ga4 Fe4'
_cell_length_a 4.629
_cell_length_b 4.403
_cell_length_c 10.461
_cell_angle_alpha 90.00
_cell_angle_beta 90.00
_cell_angle_gamma 90.00
_space_group_name_H-M_alt 'P n m a'
_space_group_IT_number 62
loop_
_space_group_symop_operation_xyz
'x,y,z'
'-x,-y,-z'
'-x+1/2,-y,z+1/2'
'x+1/2,y,-z+1/2'
'x+1/2,-y+1/2,-z+1/2'
'-x+1/2,y+1/2,z+1/2'
'-x,y+1/2,-z'
'x,-y+1/2,z'
loop_
_atom_site_label
_atom_site_type_symbol
_atom_site_fract_x
_atom_site_fract_y
_atom_site_fract_z
Pu1 Pu 0.103 0.250 0.127
Ga1 Ga 0.113 0.750 0.331
Fe1 Fe 0.096 0.250 0.445
```

Computed properties:
Energy relative to the elements   -0.311 eV/atom
Volume   213 Å³/cell
Magnetization   3.61 μB per formula unit

=====

DFT (PBE) results for a relaxed structure of Pu2Ga6Fe.

CIF file:
```
data_Pu2Ga6Fe
_chemical_formula_sum 'Pu2 Ga6 Fe1'
_cell_length_a 5.9320
_cell_length_b 5.9320
_cell_length_c 5.4249
_cell_angle_alpha 90.00
_cell_angle_beta 90.00
_cell_angle_gamma 120.00
_space_group_name_H-M_alt 'P -3 m 1'
_space_group_IT_number 164
_space_group_name_Hall '-P 3 2"'
loop_
_atom_site_label
_atom_site_type_symbol
_atom_site_fract_x
_atom_site_fract_y
_atom_site_fract_z
Pu1 Pu 0.3333 0.6667 0.3121
Ga1 Ga 0.1725 0.3450 0.8053
Fe1 Fe 0.0000 0.0000 0.5000
```

Computed properties:
Energy above the most stable polymorph in this dataset   34 meV per atom
Energy relative to the elements   -0.324 eV/atom
Volume   165 Å³/cell
Magnetization   12.40 μB per formula unit

=====

DFT (PBE) results for a relaxed structure of PuGa8Fe4.

CIF file:
```
data_PuGa8Fe4
_chemical_formula_sum 'Pu2 Ga16 Fe8'
_cell_length_a 8.781
_cell_length_b 8.781
_cell_length_c 5.034
_cell_angle_alpha 90.00
_cell_angle_beta 90.00
_cell_angle_gamma 90.00
_space_group_name_H-M_alt 'I 4/m m m'
_space_group_IT_number 139
_space_group_name_Hall '-I 4 2'
loop_
_atom_site_label
_atom_site_type_symbol
_atom_site_fract_x
_atom_site_fract_y
_atom_site_fract_z
Pu1 Pu 0.000 0.000 0.000
Ga1 Ga 0.000 0.223 0.500
Ga2 Ga 0.000 0.338 0.000
Fe1 Fe 0.250 0.250 0.250
```

Computed properties:
Energy relative to the elements   -0.217 eV/atom
Volume   388 Å³/cell
Magnetization   12.11 μB per formula unit

=====

DFT (PBE) results for a relaxed structure of PuGa3Fe.

CIF file:
```
data_PuGa3Fe
_chemical_formula_sum 'Pu2 Ga6 Fe2'
_cell_length_a 6.2130
_cell_length_b 6.2130
_cell_length_c 5.3150
_cell_angle_alpha 90.00
_cell_angle_beta 90.00
_cell_angle_gamma 120.00
_space_group_name_H-M_alt 'P 63/m m c'
_space_group_IT_number 194
_space_group_name_Hall '-P 6c 2c'
loop_
_atom_site_label
_atom_site_type_symbol
_atom_site_fract_x
_atom_site_fract_y
_atom_site_fract_z
Pu1 Pu 0.3333 0.6667 0.2500
Ga1 Ga 0.1881 0.3761 0.7500
Fe1 Fe 0.0000 0.0000 0.0000
```

Computed properties:
Energy above the most stable polymorph in this dataset   0 meV per atom
Energy relative to the elements   -0.272 eV/atom
Volume   178 Å³/cell
Magnetization   6.99 μB per formula unit

=====

DFT (PBE) results for a relaxed structure of Pu2Ga6Fe.

CIF file:
```
data_Pu2Ga6Fe
_chemical_formula_sum 'Pu8 Ga24 Fe4'
_cell_length_a 8.728
_cell_length_b 8.728
_cell_length_c 8.728
_cell_angle_alpha 90.00
_cell_angle_beta 90.00
_cell_angle_gamma 90.00
_space_group_name_H-M_alt 'F m -3 m'
_space_group_IT_number 225
_space_group_name_Hall '-F 4 2 3'
loop_
_atom_site_label
_atom_site_type_symbol
_atom_site_fract_x
_atom_site_fract_y
_atom_site_fract_z
Pu1 Pu 0.250 0.250 0.250
Ga1 Ga 0.000 0.000 0.223
Fe1 Fe 0.000 0.000 0.500
```

Computed properties:
Energy above the most stable polymorph in this dataset   0 meV per atom
Energy relative to the elements   -0.357 eV/atom
Volume   665 Å³/cell
Magnetization   12.76 μB per formula unit